[1]
# NbSiNi

Crystalline NbSiNi at its relaxed geometry (GGA-PBE, the Alexandria database).

Geometry as POSCAR:
```
NbSiNi
1.0
2.8753 0.0000 0.0000
0.0000 2.8753 0.0000
0.0000 0.0000 9.8857
Si Ni Nb
2 2 2
direct
0.5000 0.5000 0.5121 Si
0.0000 0.0000 0.0121 Si
0.5000 0.5000 0.1276 Ni
0.0000 0.0000 0.6276 Ni
0.5000 0.5000 0.8231 Nb
0.0000 0.0000 0.3231 Nb
```

Values from the calculation:
total DFT energy (no corrections) = -7.519 eV per atom
Fermi-level density of states = 4.0 states/eV/cell
spin magnetization = 0.00 μB/f.u.

=====

[2]
# BaNiAg2

Crystalline BaNiAg2 at its relaxed geometry (GGA-PBE, the Alexandria database).

Geometry as POSCAR:
```
BaNiAg2
1.0
0.0000 3.6607 3.6607
3.6607 0.0000 3.6607
3.6607 3.6607 0.0000
Ag Ba Ni
2 1 1
direct
0.7500 0.7500 0.7500 Ag
0.2500 0.2500 0.2500 Ag
0.5000 0.5000 0.5000 Ba
0.0000 0.0000 0.0000 Ni
```

Values from the calculation:
total DFT energy (no corrections) = -3.000 eV per atom
Fermi-level density of states = 3.0 states/eV/cell
spin magnetization = 0.00 μB/f.u.
formation energy from the elements = 0.3513 eV/atom

=====

[3]
# CsLi2Zr3S8

Crystalline CsLi2Zr3S8 at its relaxed geometry (GGA-PBE, the Alexandria database).

Geometry as POSCAR:
```
CsLi2Zr3S8
1.0
-5.0723 -4.1085 -3.5236
2.1071 -5.9301 -3.9266
-1.8871 -8.5050 4.8254
S Zr Li Cs
8 3 2 1
direct
0.2932 0.2932 0.1204 S
0.2406 0.7294 0.7895 S
0.7294 0.2406 0.7895 S
0.2406 0.2406 0.7895 S
0.7363 0.7363 0.7910 S
0.7895 0.7895 0.1148 S
0.7895 0.3062 0.1148 S
0.3062 0.7895 0.1148 S
0.5143 0.5143 0.9563 Zr
0.5143 0.0151 0.9563 Zr
0.0151 0.5143 0.9563 Zr
0.0187 0.0187 0.9440 Li
0.4420 0.4420 0.6741 Li
0.8631 0.8631 0.4106 Cs
```

Values from the calculation:
total DFT energy (no corrections) = -5.881 eV per atom
Fermi-level density of states = 6.1 states/eV/cell
spin magnetization = 0.00 μB/f.u.

=====

[4]
# Th6Ge2CSe3

Crystalline Th6Ge2CSe3 at its relaxed geometry (GGA-PBE, the Alexandria database).

Geometry as POSCAR:
```
Th6Ge2CSe3
1.0
-3.8535 -1.3454 0.6694
-0.6587 -2.1836 -8.1808
5.2572 -6.8524 3.7132
Ge Th C Se
2 6 1 3
direct
0.1654 0.3305 0.3308 Ge
0.8346 0.6695 0.6692 Ge
0.3324 0.4223 0.6648 Th
0.9996 0.2117 0.9991 Th
0.3538 0.9242 0.7077 Th
0.6676 0.5777 0.3352 Th
0.6462 0.0758 0.2923 Th
0.0004 0.7883 0.0009 Th
0.5000 0.0000 0.0000 C
0.5000 0.5000 0.0000 Se
0.1738 0.8371 0.3476 Se
0.8262 0.1629 0.6524 Se
```

Values from the calculation:
total DFT energy (no corrections) = -7.253 eV per atom
Fermi-level density of states = 6.6 states/eV/cell
spin magnetization = 0.00 μB/f.u.

=====

[5]
# SrCeNiS4

Crystalline SrCeNiS4 at its relaxed geometry (GGA-PBE, the Alexandria database).

Geometry as POSCAR:
```
SrCeNiS4
1.0
-2.0792 2.8510 -5.7101
-0.2768 -5.0893 -2.4402
-6.8147 -1.7349 4.3913
Ni S Ce Sr
2 8 2 2
direct
0.7617 0.2500 0.6786 Ni
0.2383 0.7500 0.3214 Ni
0.9875 0.0098 0.2651 S
0.5826 0.2500 0.4115 S
0.5677 0.2500 0.8594 S
0.0125 0.5098 0.7349 S
0.0125 0.9902 0.7349 S
0.4323 0.7500 0.1406 S
0.9875 0.4902 0.2651 S
0.4174 0.7500 0.5885 S
0.7374 0.7500 0.4391 Ce
0.2626 0.2500 0.5609 Ce
0.7295 0.7500 0.9356 Sr
0.2705 0.2500 0.0644 Sr
```

Values from the calculation:
total DFT energy (no corrections) = -5.710 eV per atom
Fermi-level density of states = 9.8 states/eV/cell
spin magnetization = 0.70 μB/f.u.

=====

[6]
# KCd2HgAu

Crystalline KCd2HgAu at its relaxed geometry (GGA-PBE, the Alexandria database).

Geometry as POSCAR:
```
KCd2HgAu
1.0
4.7256 0.0000 0.0000
0.0000 4.6343 0.0000
-2.3628 -2.3171 6.3741
Cd Au K Hg
2 1 1 1
direct
0.6914 0.1914 0.3828 Cd
0.0592 0.0592 0.1185 Cd
0.1905 0.6905 0.3810 Au
0.4378 0.4378 0.8756 K
0.8332 0.8332 0.6663 Hg
```

Values from the calculation:
total DFT energy (no corrections) = -1.451 eV per atom
Fermi-level density of states = 1.9 states/eV/cell
spin magnetization = 0.00 μB/f.u.
formation energy from the elements = -0.1499 eV/atom

=====

[7]
# Ti12TlBi3

Crystalline Ti12TlBi3 at its relaxed geometry (GGA-PBE, the Alexandria database).

Geometry as POSCAR:
```
Ti12TlBi3
1.0
5.2908 0.0000 0.0000
0.0000 5.2908 0.0000
0.0000 0.0000 10.6022
Ti Bi Tl
12 3 1
direct
0.5000 0.0000 0.6200 Ti
0.2475 0.5000 0.5000 Ti
0.7525 0.5000 0.5000 Ti
0.0000 0.2480 0.7490 Ti
0.5000 0.0000 0.3800 Ti
0.5000 0.0000 0.8713 Ti
0.0000 0.7520 0.2510 Ti
0.0000 0.7520 0.7490 Ti
0.2512 0.5000 0.0000 Ti
0.5000 0.0000 0.1287 Ti
0.0000 0.2480 0.2510 Ti
0.7488 0.5000 0.0000 Ti
0.5000 0.5000 0.2497 Bi
0.0000 0.0000 0.0000 Bi
0.5000 0.5000 0.7503 Bi
0.0000 0.0000 0.5000 Tl
```

Values from the calculation:
total DFT energy (no corrections) = -6.882 eV per atom
Fermi-level density of states = 26.6 states/eV/cell
spin magnetization = 0.38 μB/f.u.
formation energy from the elements = -0.0850 eV/atom

=====

[8]
# Gd2ScTl

Crystalline Gd2ScTl at its relaxed geometry (GGA-PBE, the Alexandria database).

Geometry as POSCAR:
```
Gd2ScTl
1.0
5.3976 0.0000 0.0000
2.6988 4.6745 0.0000
2.6988 1.5582 4.4071
Gd Tl Sc
2 1 1
direct
0.2500 0.2500 0.2500 Gd
0.7500 0.7500 0.7500 Gd
0.0000 0.0000 0.0000 Tl
0.5000 0.5000 0.5000 Sc
```

Values from the calculation:
total DFT energy (no corrections) = -9.307 eV per atom
Fermi-level density of states = 4.8 states/eV/cell
spin magnetization = 15.86 μB/f.u.
formation energy from the elements = -0.0926 eV/atom

=====

| no. | volume (A^3/atom) |
| --- | --- |
| 1 | 13.621 |
| 2 | 24.528 |
| 3 | 30.603 |
| 4 | 26.045 |
| 5 | 21.532 |
| 6 | 27.918 |
| 7 | 18.549 |
| 8 | 27.799 |